Record 1
Entry from Alexandria via LeMat-Bulk: a relaxed PmNd3Sm2Er6 crystal (PBE).

The value obtained for the electronic total energy is -111.4 eV per cell. The calculation puts the energy of formation at 0.014 eV per atom. Its total moment is 0.00 μB/f.u.

The space group is C2/m (No. 12) and the conventional cell measures 6.222, 10.773 and 11.755 Å, with angles of 90.00, 100.12 and 90.00 degrees. The distinct sites, in fractional coordinates, are Pm at (0.000, 0.000, 0.000), Nd at (0.000, 0.167, 0.500), Nd at (0.000, 0.500, 0.500), Sm at (0.000, 0.333, 0.000), Er at (0.250, 0.000, 0.751) and Er at (0.250, 0.167, 0.249).

Record 2
Entry from Alexandria via LeMat-Bulk: a relaxed Pm4NdSm2Er crystal (PBE).

The value obtained for the electronic total energy is -138.7 eV per cell. The calculation puts the energy of formation at 0.388 eV per atom. Its total moment is 0.01 μB/f.u.

The space group is C2/c (No. 15) and the conventional cell measures 13.765, 13.375 and 6.911 Å, with angles of 90.00, 119.93 and 90.00 degrees. The distinct sites, in fractional coordinates, are Pm at (0.001, 0.246, 0.001), Pm at (0.247, 0.001, 0.469), Nd at (0.250, 0.250, 0.000), Sm at (0.000, 0.500, 0.000), Sm at (0.250, 0.250, 0.500) and Er at (0.000, 0.000, 0.000).

Record 3
Entry from Alexandria via LeMat-Bulk: a relaxed Pm2Nd2Sm4Er crystal (PBE).

The value obtained for the electronic total energy is -84.8 eV per cell. The calculation puts the energy of formation at 0.010 eV per atom. Its total moment is 0.00 μB/f.u.

The space group is C2/m (No. 12) and the conventional cell measures 18.991, 3.662 and 9.748 Å, with angles of 90.00, 115.60 and 90.00 degrees. The distinct sites, in fractional coordinates, are Pm at (0.147, 0.000, 0.166), Nd at (0.165, 0.500, 0.499), Sm at (0.018, 0.500, 0.830), Sm at (0.185, 0.000, 0.833) and Er at (0.000, 0.000, 0.500).

Record 4
Entry from Alexandria via LeMat-Bulk: a relaxed Pm2Nd3SmEr6 crystal (PBE).

The value obtained for the electronic total energy is -111.5 eV per cell. The calculation puts the energy of formation at 0.014 eV per atom. Its total moment is 0.00 μB/f.u.

The space group is C2/m (No. 12) and the conventional cell measures 6.224, 10.779 and 11.760 Å, with angles of 90.00, 100.13 and 90.00 degrees. The distinct sites, in fractional coordinates, are Pm at (0.000, 0.167, 0.000), Nd at (0.000, 0.000, 0.500), Nd at (0.000, 0.333, 0.500), Sm at (0.000, 0.500, 0.000), Er at (0.250, 0.000, 0.249) and Er at (0.250, 0.167, 0.751).

Record 5
Entry from Alexandria via LeMat-Bulk: a relaxed Pm2Nd6SmEr crystal (PBE).

The value obtained for the electronic total energy is -185.1 eV per cell. The calculation puts the energy of formation at 0.113 eV per atom. Its total moment is 0.00 μB/f.u.

The space group is C2/c (No. 15) and the conventional cell measures 9.269, 15.418 and 9.829 Å, with angles of 90.00, 98.13 and 90.00 degrees. The distinct sites, in fractional coordinates, are Pm at (0.248, 0.050, 0.044), Nd at (0.063, 0.184, 0.446), Nd at (0.101, 0.394, 0.619), Nd at (0.209, 0.221, 0.811), Sm at (0.000, 0.021, 0.750) and Er at (0.000, 0.409, 0.250).

Record 6
Entry from Alexandria via LeMat-Bulk: a relaxed Pm3NdSm6Er2 crystal (PBE).

The value obtained for the electronic total energy is -112.6 eV per cell. The calculation puts the energy of formation at 0.015 eV per atom. Its total moment is 0.00 μB/f.u.

The space group is C2/m (No. 12) and the conventional cell measures 6.267, 10.852 and 12.001 Å, with angles of 90.00, 100.03 and 90.00 degrees. The distinct sites, in fractional coordinates, are Pm at (0.000, 0.000, 0.000), Pm at (0.000, 0.333, 0.000), Nd at (0.000, 0.500, 0.500), Sm at (0.249, 0.000, 0.748), Sm at (0.250, 0.167, 0.252) and Er at (0.000, 0.167, 0.500).

Record 7
Entry from Alexandria via LeMat-Bulk: a relaxed Pm3Nd6SmEr2 crystal (PBE).

The value obtained for the electronic total energy is -113.1 eV per cell. The calculation puts the energy of formation at 0.014 eV per atom. Its total moment is 0.00 μB/f.u.

The space group is C2/m (No. 12) and the conventional cell measures 6.315, 10.940 and 12.021 Å, with angles of 90.00, 100.09 and 90.00 degrees. The distinct sites, in fractional coordinates, are Pm at (0.000, 0.000, 0.000), Pm at (0.000, 0.333, 0.000), Nd at (0.249, 0.000, 0.747), Nd at (0.250, 0.167, 0.253), Sm at (0.000, 0.500, 0.500) and Er at (0.000, 0.167, 0.500).

Record 8
Entry from Alexandria via LeMat-Bulk: a relaxed Pm6NdSm3Er2 crystal (PBE).

The value obtained for the electronic total energy is -112.8 eV per cell. The calculation puts the energy of formation at 0.014 eV per atom. Its total moment is 0.00 μB/f.u.

The space group is C2/m (No. 12) and the conventional cell measures 6.280, 10.875 and 11.999 Å, with angles of 90.00, 100.05 and 90.00 degrees. The distinct sites, in fractional coordinates, are Pm at (0.249, 0.000, 0.248), Pm at (0.250, 0.167, 0.752), Nd at (0.000, 0.500, 0.000), Sm at (0.000, 0.000, 0.500), Sm at (0.000, 0.333, 0.500) and Er at (0.000, 0.167, 0.000).

Record 9
Entry from Alexandria via LeMat-Bulk: a relaxed PmNdSm2Er4 crystal (PBE).

The value obtained for the electronic total energy is -135.4 eV per cell. The calculation puts the energy of formation at 0.418 eV per atom. Its total moment is 2.97 μB/f.u.

The space group is C2/c (No. 15) and the conventional cell measures 13.649, 13.269 and 6.815 Å, with angles of 90.00, 119.95 and 90.00 degrees. The distinct sites, in fractional coordinates, are Pm at (0.000, 0.000, 0.000), Nd at (0.250, 0.250, 0.000), Sm at (0.000, 0.500, 0.000), Sm at (0.250, 0.250, 0.500), Er at (0.000, 0.250, 0.001) and Er at (0.250, 0.000, 0.499).

Record 10
Entry from Alexandria via LeMat-Bulk: a relaxed Pm2NdSm2Er crystal (PBE).

The value obtained for the electronic total energy is -53.5 eV per cell. The calculation puts the energy of formation at 0.253 eV per atom. Its total moment is 0.00 μB/f.u.

The space group is Pnnm (No. 58) and the conventional cell measures 6.732, 17.938 and 3.419 Å, with angles of 90.00, 90.00 and 90.00 degrees. The distinct sites, in fractional coordinates, are Pm at (0.238, 0.181, 0.000), Nd at (0.000, 0.500, 0.000), Sm at (0.234, 0.351, 0.500) and Er at (0.000, 0.000, 0.000).

Record 11
Entry from Alexandria via LeMat-Bulk: a relaxed PmNdErSn crystal (PBE).

The value obtained for the electronic total energy is -75.9 eV per cell. The calculation puts the energy of formation at -0.226 eV per atom. Its total moment is 0.00 μB/f.u.

The space group is F-43m (No. 216) and the conventional cell measures 7.763, 7.763 and 7.763 Å, with angles of 90.00, 90.00 and 90.00 degrees. The distinct sites, in fractional coordinates, are Pm at (0.000, 0.000, 0.000), Nd at (0.250, 0.250, 0.250), Er at (0.250, 0.250, 0.750) and Sn at (0.000, 0.000, 0.500).

Record 12
Entry from Alexandria via LeMat-Bulk: a relaxed TbPmNdEr crystal (PBE).

The value obtained for the electronic total energy is -37.3 eV per cell. The energy above the most stable polymorph in this dataset comes out at 0.000 eV per atom. The calculation puts the energy of formation at 0.018 eV per atom. Its total moment is 0.00 μB/f.u.

The space group is I-4m2 (No. 119) and the conventional cell measures 5.097, 5.097 and 10.157 Å, with angles of 90.00, 90.00 and 90.00 degrees. The distinct sites, in fractional coordinates, are Tb at (0.000, 0.000, 0.000), Pm at (0.000, 0.000, 0.500), Nd at (0.000, 0.500, 0.750) and Er at (0.000, 0.500, 0.250).

Record 13
Entry from Alexandria via LeMat-Bulk: a relaxed TbPmNdEr crystal (PBE).

The value obtained for the electronic total energy is -72.9 eV per cell. The energy above the most stable polymorph in this dataset comes out at 0.101 eV per atom. The calculation puts the energy of formation at 0.119 eV per atom. Its total moment is 0.01 μB/f.u.

The space group is F-43m (No. 216) and the conventional cell measures 8.102, 8.102 and 8.102 Å, with angles of 90.00, 90.00 and 90.00 degrees. The distinct sites, in fractional coordinates, are Tb at (0.000, 0.000, 0.000), Pm at (0.250, 0.250, 0.250), Nd at (0.250, 0.250, 0.750) and Er at (0.000, 0.000, 0.500).

Record 14
Entry from Alexandria via LeMat-Bulk: a relaxed TbPm4NdEr2 crystal (PBE).

The value obtained for the electronic total energy is -37.4 eV per cell. The calculation puts the energy of formation at 0.017 eV per atom. Its total moment is 0.00 μB/f.u.

The space group is P2/m (No. 10) and the conventional cell measures 6.239, 3.615 and 11.932 Å, with angles of 90.00, 100.14 and 90.00 degrees. The distinct sites, in fractional coordinates, are Tb at (0.000, 0.000, 0.000), Pm at (0.251, 0.000, 0.753), Pm at (0.251, 0.500, 0.250), Nd at (0.000, 0.500, 0.500), Er at (0.500, 0.000, 0.500) and Er at (0.500, 0.500, 0.000).

Record 15
Entry from Alexandria via LeMat-Bulk: a relaxed TbPmNdEr2 crystal (PBE).

The value obtained for the electronic total energy is -85.6 eV per cell. The calculation puts the energy of formation at 0.377 eV per atom. Its total moment is 0.01 μB/f.u.

The space group is Cmcm (No. 63) and the conventional cell measures 8.412, 11.534 and 7.164 Å, with angles of 90.00, 90.00 and 90.00 degrees. The distinct sites, in fractional coordinates, are Tb at (0.000, 0.221, 0.250), Pm at (0.000, 0.499, 0.250), Nd at (0.000, 0.229, 0.750) and Er at (0.187, 0.000, 0.000).

Record 16
Entry from Alexandria via LeMat-Bulk: a relaxed TbPmNd3Er crystal (PBE).

The value obtained for the electronic total energy is -110.1 eV per cell. The calculation puts the energy of formation at 0.119 eV per atom. Its total moment is 0.00 μB/f.u.

The space group is Cmcm (No. 63) and the conventional cell measures 5.749, 11.869 and 11.812 Å, with angles of 90.00, 90.00 and 90.00 degrees. The distinct sites, in fractional coordinates, are Tb at (0.000, 0.000, 0.000), Pm at (0.000, 0.473, 0.250), Nd at (0.000, 0.130, 0.750), Nd at (0.000, 0.327, 0.536) and Er at (0.000, 0.171, 0.250).

Record 17
Entry from Alexandria via LeMat-Bulk: a relaxed Tb2Pm3Nd6Er crystal (PBE).

The value obtained for the electronic total energy is -113.0 eV per cell. The calculation puts the energy of formation at 0.013 eV per atom. Its total moment is 0.00 μB/f.u.

The space group is C2/m (No. 12) and the conventional cell measures 6.314, 10.940 and 12.012 Å, with angles of 90.00, 100.09 and 90.00 degrees. The distinct sites, in fractional coordinates, are Tb at (0.000, 0.167, 0.000), Pm at (0.000, 0.000, 0.500), Pm at (0.000, 0.333, 0.500), Nd at (0.249, 0.334, 0.247), Nd at (0.250, 0.000, 0.247) and Er at (0.000, 0.500, 0.000).

Record 18
Entry from Alexandria via LeMat-Bulk: a relaxed Tb6PmNdEr2 crystal (PBE).

The value obtained for the electronic total energy is -180.8 eV per cell. The calculation puts the energy of formation at 0.122 eV per atom. Its total moment is 0.00 μB/f.u.

The space group is C2/c (No. 15) and the conventional cell measures 9.174, 15.027 and 9.569 Å, with angles of 90.00, 97.01 and 90.00 degrees. The distinct sites, in fractional coordinates, are Tb at (0.065, 0.181, 0.443), Tb at (0.097, 0.391, 0.619), Tb at (0.207, 0.227, 0.819), Pm at (0.000, 0.030, 0.750), Nd at (0.000, 0.407, 0.250) and Er at (0.248, 0.051, 0.047).

Record 19
Entry from Alexandria via LeMat-Bulk: a relaxed Tb4Pm2Nd2Er crystal (PBE).

The value obtained for the electronic total energy is -84.1 eV per cell. The calculation puts the energy of formation at 0.005 eV per atom. Its total moment is 0.00 μB/f.u.

The space group is C2/m (No. 12) and the conventional cell measures 18.854, 3.633 and 9.665 Å, with angles of 90.00, 115.70 and 90.00 degrees. The distinct sites, in fractional coordinates, are Tb at (0.019, 0.000, 0.331), Tb at (0.185, 0.500, 0.335), Pm at (0.147, 0.500, 0.664), Nd at (0.165, 0.000, 0.000) and Er at (0.000, 0.500, 0.000).

Record 20
Entry from Alexandria via LeMat-Bulk: a relaxed Tb2Pm4NdEr crystal (PBE).

The value obtained for the electronic total energy is -37.5 eV per cell. The calculation puts the energy of formation at 0.016 eV per atom. Its total moment is 0.00 μB/f.u.

The space group is P2/m (No. 10) and the conventional cell measures 6.251, 3.623 and 11.964 Å, with angles of 90.00, 100.20 and 90.00 degrees. The distinct sites, in fractional coordinates, are Tb at (0.000, 0.000, 0.000), Tb at (0.000, 0.500, 0.500), Pm at (0.249, 0.000, 0.747), Pm at (0.250, 0.500, 0.252), Nd at (0.500, 0.500, 0.000) and Er at (0.500, 0.000, 0.500).

Record 21
Entry from Alexandria via LeMat-Bulk: a relaxed TbPm2Nd5Er crystal (PBE).

The value obtained for the electronic total energy is -160.0 eV per cell. The calculation puts the energy of formation at 0.280 eV per atom. Its total moment is 0.00 μB/f.u.

The space group is I4/mcm (No. 140) and the conventional cell measures 8.675, 8.675 and 16.576 Å, with angles of 90.00, 90.00 and 90.00 degrees. The distinct sites, in fractional coordinates, are Tb at (0.000, 0.000, 0.250), Pm at (0.120, 0.380, 0.000), Nd at (0.000, 0.000, 0.000), Nd at (0.215, 0.285, 0.358) and Er at (0.000, 0.500, 0.250).